No. 1
Here is crystalline SrLa2HgS at its relaxed geometry from the Alexandria database. Energies are from GGA-PBEsol.

Geometry as CIF:
```
data_SrLa2HgS
_chemical_formula_sum 'Sr1 La2 Hg1 S1'
_cell_length_a 5.8981
_cell_length_b 5.8981
_cell_length_c 5.3948
_cell_angle_alpha 90.00
_cell_angle_beta 90.00
_cell_angle_gamma 90.00
_space_group_name_H-M_alt 'P 4/m m m'
_space_group_IT_number 123
_space_group_name_Hall '-P 4 2'
loop_
_atom_site_label
_atom_site_type_symbol
_atom_site_fract_x
_atom_site_fract_y
_atom_site_fract_z
Sr1 Sr 0.0000 0.0000 0.0000
La1 La 0.0000 0.5000 0.5000
Hg1 Hg 0.5000 0.5000 0.5000
S1 S 0.5000 0.5000 0.0000
```

Total magnetization ... 0.498 Bohr magnetons per cell
Total energy ... -3.285 eV/atom
Formation energy from raw total energies ... 0.211 eV per atom
DOS(E_F) ... 7.663 states/eV/f.u.



No. 2
Here is crystalline LaSc2Ni at its relaxed geometry from the Alexandria database. Energies are from GGA-PBEsol.

Geometry as CIF:
```
data_LaSc2Ni
_chemical_formula_sum 'La1 Sc2 Ni1'
_cell_length_a 3.2324
_cell_length_b 3.2324
_cell_length_c 8.3050
_cell_angle_alpha 90.00
_cell_angle_beta 90.00
_cell_angle_gamma 90.00
_space_group_name_H-M_alt 'P 4/m m m'
_space_group_IT_number 123
_space_group_name_Hall '-P 4 2'
loop_
_atom_site_label
_atom_site_type_symbol
_atom_site_fract_x
_atom_site_fract_y
_atom_site_fract_z
La1 La 0.0000 0.0000 0.0000
Sc1 Sc 0.5000 0.5000 0.3234
Ni1 Ni 0.0000 0.0000 0.5000
```

Total magnetization ... 0.000 Bohr magnetons per cell
Total energy ... -6.375 eV/atom
DOS(E_F) ... 4.432 states/eV/f.u.



No. 3
Here is crystalline K2BaCr at its relaxed geometry from the Alexandria database. Energies are from GGA-PBEsol.

Geometry as CIF:
```
data_K2BaCr
_chemical_formula_sum 'K4 Ba2 Cr2'
_cell_length_a 5.2411
_cell_length_b 5.2411
_cell_length_c 13.4020
_cell_angle_alpha 90.00
_cell_angle_beta 90.00
_cell_angle_gamma 90.00
_space_group_name_H-M_alt 'I 4/m m m'
_space_group_IT_number 139
_space_group_name_Hall '-I 4 2'
loop_
_atom_site_label
_atom_site_type_symbol
_atom_site_fract_x
_atom_site_fract_y
_atom_site_fract_z
K1 K 0.0000 0.5000 0.2500
Ba1 Ba 0.0000 0.0000 0.0000
Cr1 Cr 0.0000 0.0000 0.5000
```

Total magnetization ... 10.076 Bohr magnetons per cell
Total energy ... -2.920 eV/atom
DOS(E_F) ... 2.974 states/eV/f.u.



No. 4
Here is crystalline MgZnMo2 at its relaxed geometry from the Alexandria database. Energies are from GGA-PBEsol.

Geometry as CIF:
```
data_MgZnMo2
_chemical_formula_sum 'Mg1 Zn1 Mo2'
_cell_length_a 3.3704
_cell_length_b 3.3704
_cell_length_c 5.6849
_cell_angle_alpha 90.00
_cell_angle_beta 90.00
_cell_angle_gamma 90.00
_space_group_name_H-M_alt 'P 4/m m m'
_space_group_IT_number 123
_space_group_name_Hall '-P 4 2'
loop_
_atom_site_label
_atom_site_type_symbol
_atom_site_fract_x
_atom_site_fract_y
_atom_site_fract_z
Mg1 Mg 0.0000 0.0000 0.0000
Zn1 Zn 0.0000 0.0000 0.5000
Mo1 Mo 0.5000 0.5000 0.3001
```

Total magnetization ... 0.000 Bohr magnetons per cell
Total energy ... -6.319 eV/atom
DOS(E_F) ... 1.697 states/eV/f.u.



No. 5
Here is crystalline P2PtAu at its relaxed geometry from the Alexandria database. Energies are from GGA-PBEsol.

Geometry as CIF:
```
data_P2PtAu
_chemical_formula_sum 'P8 Pt4 Au4'
_cell_length_a 6.2883
_cell_length_b 6.2883
_cell_length_c 6.2883
_cell_angle_alpha 90.00
_cell_angle_beta 90.00
_cell_angle_gamma 90.00
_space_group_name_H-M_alt 'F -4 3 m'
_space_group_IT_number 216
_space_group_name_Hall 'F -4 2 3'
loop_
_atom_site_label
_atom_site_type_symbol
_atom_site_fract_x
_atom_site_fract_y
_atom_site_fract_z
P1 P 0.0000 0.0000 0.0000
P2 P 0.2500 0.2500 0.2500
Pt1 Pt 0.0000 0.0000 0.5000
Au1 Au 0.2500 0.2500 0.7500
```

Total magnetization ... 0.000 Bohr magnetons per cell
Total energy ... -5.142 eV/atom
DOS(E_F) ... 1.314 states/eV/f.u.



No. 6
Here is crystalline SrMn2Tl at its relaxed geometry from the Alexandria database. Energies are from GGA-PBEsol.

Geometry as CIF:
```
data_SrMn2Tl
_chemical_formula_sum 'Sr3 Mn6 Tl3'
_cell_length_a 3.3913
_cell_length_b 3.3913
_cell_length_c 28.5097
_cell_angle_alpha 90.00
_cell_angle_beta 90.00
_cell_angle_gamma 120.00
_space_group_name_H-M_alt 'R -3 m'
_space_group_IT_number 166
_space_group_name_Hall '-R 3 2"'
loop_
_atom_site_label
_atom_site_type_symbol
_atom_site_fract_x
_atom_site_fract_y
_atom_site_fract_z
Sr1 Sr 0.0000 0.0000 0.0000
Mn1 Mn 0.0000 0.0000 0.2408
Tl1 Tl 0.0000 0.0000 0.5000
```

Total magnetization ... 23.589 Bohr magnetons per cell
Total energy ... -5.093 eV/atom
DOS(E_F) ... 3.531 states/eV/f.u.



Look up the total energy of the first one.
-3.285 eV/atom



Which formula does entry 6 have?
SrMn2Tl